(1)
{
  "formula": "La2BeSe4",
  "functional": "PBE-GGA",
  "state": "optimized geometry",
  "e_form_raw_kj_per_mol_atoms": -158.03,
  "space_group": "P2_1/m, No. 11",
  "cell": [[6.633, 0.000, -0.075], [0.000, 6.765, 0.000], [-2.527, 0.000, 7.924]],
  "species": ["La", "La", "La", "La", "Se", "Se", "Se", "Se", "Se", "Se", "Se", "Se", "Be", "Be"],
  "fractional_positions": [[0.724, 0.750, 0.054], [0.237, 0.250, 0.432], [0.763, 0.750, 0.568], [0.276, 0.250, 0.946], [0.923, 0.250, 0.621], [0.092, 0.750, 0.916], [0.497, 0.001, 0.259], [0.077, 0.750, 0.379], [0.503, 0.999, 0.741], [0.497, 0.499, 0.259], [0.908, 0.250, 0.084], [0.503, 0.501, 0.741], [0.270, 0.750, 0.198], [0.730, 0.250, 0.802]]
}

=====

(2)
{
  "formula": "MnZn7Au4",
  "functional": "PBE-GGA",
  "state": "optimized geometry",
  "space_group": "C2/m, No. 12",
  "formation_enthalpy_0k_ev_per_atom": 0.02,
  "polymorph_energy_mev_per_atom": 149,
  "cell": [[4.727, 0.000, 0.000], [2.364, 7.589, 0.001], [2.364, 0.365, 5.946]],
  "species": ["Mn", "Au", "Au", "Au", "Au", "Zn", "Zn", "Zn", "Zn", "Zn", "Zn", "Zn"],
  "fractional_positions": [[0.000, 0.000, 0.000], [0.280, 0.334, 0.106], [0.424, 0.785, 0.366], [0.576, 0.215, 0.634], [0.720, 0.666, 0.894], [0.076, 0.671, 0.178], [0.795, 0.881, 0.528], [0.357, 0.568, 0.718], [0.924, 0.329, 0.822], [0.205, 0.119, 0.472], [0.500, 0.000, 0.000], [0.643, 0.432, 0.282]]
}

=====

(3)
{
  "formula": "LiTbPd",
  "functional": "PBE-GGA",
  "state": "optimized geometry",
  "space_group": "P-6m2, No. 187",
  "formation_enthalpy_0k_ev_per_atom": -0.48,
  "polymorph_energy_mev_per_atom": 111,
  "cell": [[3.685, 0.000, 0.000], [0.000, 4.356, 0.000], [0.000, -2.178, 3.772]],
  "species": ["Pd", "Li", "Tb"],
  "fractional_positions": [[0.167, 0.333, 0.667], [0.166, 0.000, 0.000], [0.667, 0.667, 0.333]]
}

=====

(4)
{
  "formula": "Li3Pb4O9",
  "functional": "PBE-GGA",
  "state": "optimized geometry",
  "e_form_raw_kj_per_mol_atoms": -109.34,
  "space_group": "R3, No. 146",
  "cell": [[5.282, 0.000, 1.864], [2.312, 4.749, 1.864], [-0.124, -0.077, 8.766]],
  "species": ["O", "O", "O", "O", "O", "O", "O", "O", "O", "Pb", "Pb", "Pb", "Pb", "Li", "Li", "Li"],
  "fractional_positions": [[0.489, 0.905, 0.414], [0.192, 0.489, 0.414], [0.345, 0.643, 0.083], [0.755, 0.419, 0.747], [0.905, 0.192, 0.414], [0.419, 0.079, 0.747], [0.929, 0.345, 0.083], [0.643, 0.929, 0.083], [0.079, 0.755, 0.747], [0.129, 0.129, 0.613], [0.267, 0.267, 0.200], [0.705, 0.705, 0.884], [0.567, 0.567, 0.298], [0.991, 0.991, 0.026], [0.841, 0.841, 0.478], [0.417, 0.417, 0.748]]
}

=====

(5)
{
  "formula": "ThZr2Sc2",
  "functional": "PBE-GGA",
  "state": "optimized geometry",
  "space_group": "C2/m, No. 12",
  "formation_enthalpy_0k_ev_per_atom": 0.24,
  "cell": [[-4.687, -2.814, -0.239], [1.134, -5.332, 0.473], [0.186, 1.728, 4.590]],
  "species": ["Sc", "Sc", "Th", "Zr", "Zr"],
  "fractional_positions": [[0.500, 0.000, 0.500], [0.000, 0.500, 0.500], [0.000, 0.000, 0.000], [0.608, 0.608, 0.865], [0.392, 0.392, 0.135]]
}

=====

(6)
{
  "formula": "RuF4",
  "functional": "PBE-GGA",
  "state": "optimized geometry",
  "e_form_raw_kj_per_mol_atoms": -158.65,
  "space_group": "P2_1/c, No. 14",
  "cell": [[5.087, 0.000, 0.000], [0.000, 5.728, -0.105], [0.000, 2.544, 4.825]],
  "species": ["F", "F", "F", "F", "F", "F", "F", "F", "Ru", "Ru"],
  "fractional_positions": [[0.132, 0.337, 0.378], [0.670, 0.106, 0.630], [0.830, 0.106, 0.130], [0.368, 0.337, 0.878], [0.330, 0.894, 0.370], [0.632, 0.663, 0.122], [0.170, 0.894, 0.870], [0.868, 0.663, 0.622], [0.000, 0.000, 0.500], [0.500, 0.000, 0.000]]
}

=====

(7)
{
  "formula": "CePrPu2P4",
  "functional": "PBE-GGA",
  "state": "optimized geometry",
  "space_group": "P2/m, No. 10",
  "formation_enthalpy_0k_ev_per_atom": -1.33,
  "cell": [[4.079, 0.000, 0.000], [0.000, 7.030, -0.126], [0.000, 2.488, 6.620]],
  "species": ["P", "P", "P", "P", "Pu", "Pu", "Ce", "Pr"],
  "fractional_positions": [[0.500, 0.239, 0.749], [0.000, 0.765, 0.740], [0.000, 0.235, 0.260], [0.500, 0.761, 0.251], [0.500, 0.000, 0.500], [0.000, 0.000, 0.000], [0.000, 0.500, 0.500], [0.500, 0.500, 0.000]]
}

=====

(8)
{
  "formula": "NaTbZn4",
  "functional": "PBE-GGA",
  "state": "optimized geometry",
  "space_group": "F-43m, No. 216",
  "formation_enthalpy_0k_ev_per_atom": -0.15,
  "cell": [[5.445, 0.000, 0.000], [2.722, 4.715, 0.000], [2.722, 1.572, 4.446]],
  "species": ["Tb", "Zn", "Zn", "Zn", "Zn", "Na"],
  "fractional_positions": [[0.000, 0.000, 0.000], [0.124, 0.625, 0.625], [0.625, 0.625, 0.625], [0.625, 0.625, 0.124], [0.625, 0.124, 0.625], [0.250, 0.250, 0.250]]
}

=====

(9)
{
  "formula": "LiPrAlPt3",
  "functional": "PBE-GGA",
  "state": "optimized geometry",
  "space_group": "Cmcm, No. 63",
  "formation_enthalpy_0k_ev_per_atom": -0.73,
  "cell": [[-2.962, -4.994, 0.170], [5.471, -3.192, 1.534], [-3.829, 2.437, 4.883]],
  "species": ["Li", "Li", "Pt", "Pt", "Pt", "Pt", "Pt", "Pt", "Al", "Al", "Pr", "Pr"],
  "fractional_positions": [[0.250, 0.944, 0.888], [0.750, 0.056, 0.112], [0.000, 0.277, 0.000], [0.250, 0.167, 0.333], [0.750, 0.833, 0.667], [0.500, 0.277, 0.000], [0.000, 0.723, 0.000], [0.500, 0.723, 0.000], [0.750, 0.625, 0.250], [0.250, 0.375, 0.750], [0.250, 0.706, 0.413], [0.750, 0.294, 0.587]]
}

=====

(10)
{
  "formula": "CaSm7In4",
  "functional": "PBE-GGA",
  "state": "optimized geometry",
  "space_group": "C2/m, No. 12",
  "formation_enthalpy_0k_ev_per_atom": -0.12,
  "cell": [[5.795, 0.000, 0.000], [2.898, 9.201, 0.204], [2.898, 0.441, 7.130]],
  "species": ["Sm", "Sm", "Sm", "Sm", "Sm", "Sm", "Sm", "In", "In", "In", "In", "Ca"],
  "fractional_positions": [[0.786, 0.875, 0.553], [0.942, 0.380, 0.737], [0.058, 0.620, 0.263], [0.214, 0.125, 0.447], [0.500, 0.000, 0.000], [0.309, 0.622, 0.759], [0.691, 0.378, 0.241], [0.564, 0.228, 0.644], [0.686, 0.670, 0.958], [0.314, 0.330, 0.042], [0.436, 0.772, 0.356], [0.000, 0.000, 0.000]]
}

=====

(11)
{
  "formula": "TlTcW",
  "functional": "PBE-GGA",
  "state": "optimized geometry",
  "space_group": "P3m1, No. 156",
  "formation_enthalpy_0k_ev_per_atom": 0.60,
  "polymorph_energy_mev_per_atom": 82,
  "cell": [[2.989, 0.000, 0.000], [-1.494, 2.588, 0.000], [0.000, 0.000, 6.988]],
  "species": ["Tl", "Tc", "W"],
  "fractional_positions": [[0.333, 0.667, 0.329], [0.000, 0.000, 0.976], [0.667, 0.333, 0.695]]
}

=====

(12)
{
  "formula": "CdSiPt2",
  "functional": "PBE-GGA",
  "state": "optimized geometry",
  "e_form_raw_kj_per_mol_atoms": -42.17,
  "space_group": "Imm2, No. 44",
  "cell": [[7.404, 0.175, 0.190], [5.936, 4.429, -0.190], [-6.577, -2.572, 2.240]],
  "species": ["Cd", "Pt", "Pt", "Si"],
  "fractional_positions": [[0.306, 0.806, 0.500], [0.681, 0.181, 0.500], [0.970, 0.970, 0.000], [0.544, 0.544, 0.000]]
}

=====

(13)
{
  "formula": "ReSi2Ir",
  "functional": "PBE-GGA",
  "state": "optimized geometry",
  "e_form_raw_kj_per_mol_atoms": 33.25,
  "space_group": "F-43m, No. 216",
  "polymorph_energy_mev_per_atom": 727,
  "cell": [[-3.637, 2.258, 0.667], [-3.521, -0.808, -2.392], [-3.444, -1.921, 1.795]],
  "species": ["Si", "Si", "Re", "Ir"],
  "fractional_positions": [[0.000, 0.000, 0.000], [0.250, 0.250, 0.250], [0.750, 0.750, 0.750], [0.500, 0.500, 0.500]]
}

=====

(14)
{
  "formula": "CsMgH2",
  "functional": "PBE-GGA",
  "state": "optimized geometry",
  "space_group": "Pm, No. 6",
  "polymorph_energy_mev_per_atom": 97,
  "cell": [[3.347, 0.000, 0.034], [0.000, 6.344, 0.000], [-0.052, 0.000, 4.019]],
  "species": ["Mg", "H", "H", "Cs"],
  "fractional_positions": [[0.225, 0.000, 0.312], [0.725, 0.205, 0.313], [0.725, 0.795, 0.313], [0.228, 0.500, 0.812]]
}

=====

(15)
{
  "formula": "DyMgBiPb",
  "functional": "PBE-GGA",
  "state": "optimized geometry",
  "space_group": "F-43m, No. 216",
  "formation_enthalpy_0k_ev_per_atom": -0.23,
  "cell": [[-3.245, -0.181, 4.327], [1.600, -2.588, 4.475], [1.261, 2.813, 4.448]],
  "species": ["Dy", "Pb", "Mg", "Bi"],
  "fractional_positions": [[0.500, 0.500, 0.500], [0.750, 0.750, 0.750], [0.000, 0.000, 0.000], [0.250, 0.250, 0.250]]
}

=====

(16)
{
  "formula": "Cr2Fe2Ir7",
  "functional": "PBE-GGA",
  "state": "optimized geometry",
  "space_group": "C2/m, No. 12",
  "formation_enthalpy_0k_ev_per_atom": 0.19,
  "cell": [[4.500, 0.872, 1.096], [3.161, 7.568, 4.368], [1.016, 1.747, 6.122]],
  "species": ["Ir", "Ir", "Ir", "Ir", "Ir", "Ir", "Ir", "Cr", "Cr", "Fe", "Fe"],
  "fractional_positions": [[0.172, 0.575, 0.495], [0.602, 0.612, 0.000], [0.828, 0.930, 0.495], [0.172, 0.070, 0.505], [0.398, 0.388, 0.000], [0.828, 0.425, 0.505], [0.000, 0.000, 0.000], [0.024, 0.268, 0.000], [0.976, 0.732, 0.000], [0.500, 0.845, 0.310], [0.500, 0.155, 0.690]]
}

=====

(17)
{
  "formula": "KCaI",
  "functional": "PBE-GGA",
  "state": "optimized geometry",
  "e_form_raw_kj_per_mol_atoms": -69.54,
  "space_group": "Amm2, No. 38",
  "cell": [[4.313, 0.000, 0.000], [-2.156, 3.734, 0.000], [0.000, 0.000, 16.697]],
  "species": ["K", "K", "Ca", "Ca", "I", "I"],
  "fractional_positions": [[0.610, 0.221, 0.709], [0.610, 0.221, 0.291], [0.612, 0.224, 0.000], [0.276, 0.552, 0.500], [0.279, 0.557, 0.124], [0.279, 0.557, 0.876]]
}

=====

(18)
{
  "formula": "La5TbHg2",
  "functional": "PBE-GGA",
  "state": "optimized geometry",
  "space_group": "P6_3/mmc, No. 194",
  "formation_enthalpy_0k_ev_per_atom": -0.15,
  "cell": [[-4.511, -2.338, 2.367], [5.090, -0.912, 2.163], [-2.156, 16.211, 11.908]],
  "species": ["La", "La", "La", "La", "La", "La", "La", "La", "La", "La", "Tb", "Tb", "Hg", "Hg", "Hg", "Hg"],
  "fractional_positions": [[0.667, 0.333, 0.439], [0.667, 0.333, 0.250], [0.000, 0.000, 0.160], [0.000, 0.000, 0.660], [0.333, 0.667, 0.939], [0.333, 0.667, 0.561], [0.000, 0.000, 0.340], [0.333, 0.667, 0.750], [0.000, 0.000, 0.840], [0.667, 0.333, 0.061], [0.667, 0.333, 0.750], [0.333, 0.667, 0.250], [0.333, 0.667, 0.401], [0.333, 0.667, 0.099], [0.667, 0.333, 0.599], [0.667, 0.333, 0.901]]
}

=====

(19)
{
  "formula": "Ac4Pb3O2",
  "functional": "PBE-GGA",
  "state": "optimized geometry",
  "e_form_raw_kj_per_mol_atoms": -146.25,
  "space_group": "C2/c, No. 15",
  "cell": [[-4.603, -1.638, 5.524], [-2.569, -8.285, -3.157], [5.311, -6.429, 3.959]],
  "species": ["Pb", "Pb", "Pb", "Pb", "Pb", "Pb", "Ac", "Ac", "Ac", "Ac", "Ac", "Ac", "Ac", "Ac", "O", "O", "O", "O"],
  "fractional_positions": [[0.491, 0.756, 0.034], [0.250, 0.630, 0.370], [0.009, 0.966, 0.244], [0.991, 0.034, 0.756], [0.509, 0.244, 0.966], [0.750, 0.370, 0.630], [0.102, 0.259, 0.387], [0.993, 0.691, 0.055], [0.398, 0.613, 0.741], [0.602, 0.387, 0.259], [0.007, 0.309, 0.945], [0.898, 0.741, 0.613], [0.493, 0.055, 0.691], [0.507, 0.945, 0.309], [0.923, 0.415, 0.166], [0.423, 0.166, 0.415], [0.077, 0.585, 0.834], [0.577, 0.834, 0.585]]
}

=====

(20)
{
  "formula": "Nd3Hg2Rh",
  "functional": "PBE-GGA",
  "state": "optimized geometry",
  "space_group": "C2/c, No. 15",
  "formation_enthalpy_0k_ev_per_atom": -0.46,
  "polymorph_energy_mev_per_atom": 64,
  "cell": [[6.005, 0.000, 0.000], [0.000, 7.908, 0.003], [-3.002, -1.977, 7.404]],
  "species": ["Nd", "Nd", "Nd", "Nd", "Nd", "Nd", "Hg", "Hg", "Hg", "Hg", "Rh", "Rh"],
  "fractional_positions": [[0.134, 0.567, 0.268], [0.501, 0.750, 0.000], [0.866, 0.433, 0.732], [0.499, 0.250, 0.000], [0.134, 0.067, 0.268], [0.866, 0.933, 0.732], [0.690, 0.095, 0.380], [0.310, 0.905, 0.620], [0.690, 0.595, 0.380], [0.310, 0.405, 0.620], [0.001, 0.750, 0.000], [0.999, 0.250, 0.000]]
}